Crystalline KV2F6 at its relaxed geometry. Source: Alexandria, functional GGA+U.

Lattice parameters (Å, degrees): 5.5128 5.5128 5.6458 90.00 90.00 120.00
Space group P-31m (No. 162)
Symmetry-distinct sites (fractional):
K 0.0000 0.0000 0.0000 [1 per cell]
V 0.3333 0.6667 0.5000 [2 per cell]
F 0.0000 0.3663 0.6892 [6 per cell]

Output
The spin magnetization comes out at 5.0 μB/f.u. Its calculated density is 2.8 g cm⁻³. The calculation puts the density of states at the Fermi level at 5.2 states/eV per cell. The value obtained for the electronic total energy is -5.8413 eV per atom.